Record 1
CaMg2Se: optimized geometry, GGA-PBEsol.

Properties
The density of states at the Fermi level comes out at 1.3 states/eV/f.u. The total energy is -11.8 eV/cell. Its spin magnetization is 0.00 μB/f.u. Its crystal system is tetragonal.

a b c (Å): 4.204 4.204 5.512
angles (deg): 90.00 90.00 90.00
Fractional coordinates of all 4 atoms:
Ca1 0.000 0.000 0.000
Mg1 0.000 0.500 0.500
Mg2 0.500 0.000 0.500
Se1 0.500 0.500 0.000



Record 2
Ca3MgSe: optimized geometry, GGA-PBEsol.

Properties
The density of states at the Fermi level comes out at 4.0 states/eV/f.u. The total energy is -15.2 eV/cell. Its spin magnetization is 0.00 μB/f.u. The calculation puts the energy above the most stable polymorph in this dataset at 0 meV/atom. Its crystal system is cubic.

a b c (Å): 5.554 5.554 5.554
angles (deg): 90.00 90.00 90.00
Fractional coordinates of all 5 atoms:
Ca1 0.000 0.000 0.500
Ca2 0.000 0.500 0.000
Ca3 0.500 0.000 0.000
Mg1 0.500 0.500 0.500
Se1 0.000 0.000 0.000



Record 3
CaSmMg2: optimized geometry, GGA-PBEsol.

Properties
The density of states at the Fermi level comes out at 3.9 states/eV/f.u. The total energy is -43.9 eV/cell. Its spin magnetization is 0.00 μB/f.u. The formation energy from the elements is -76 meV/atom. Its crystal system is cubic.

a b c (Å): 7.713 7.713 7.713
angles (deg): 90.00 90.00 90.00
Fractional coordinates of all 16 atoms:
Ca1 0.000 0.000 0.000
Ca2 0.000 0.500 0.500
Ca3 0.500 0.000 0.500
Ca4 0.500 0.500 0.000
Sm1 0.000 0.000 0.500
Sm2 0.000 0.500 0.000
Sm3 0.500 0.000 0.000
Sm4 0.500 0.500 0.500
Mg1 0.250 0.250 0.250
Mg2 0.250 0.250 0.750
Mg3 0.250 0.750 0.250
Mg4 0.250 0.750 0.750
Mg5 0.750 0.250 0.250
Mg6 0.750 0.250 0.750
Mg7 0.750 0.750 0.250
Mg8 0.750 0.750 0.750



Record 4
Ca4MgSn3: optimized geometry, GGA-PBEsol.

Properties
The density of states at the Fermi level comes out at 8.3 states/eV/f.u. The total energy is -56.5 eV/cell. Its spin magnetization is 0.00 μB/f.u. The formation energy from the elements is -654 meV/atom. Its crystal system is tetragonal.

a b c (Å): 9.129 9.129 9.129
angles (deg): 96.06 96.06 142.09
Fractional coordinates of all 16 atoms:
Ca1 0.083 0.781 0.864
Ca2 0.219 0.083 0.303
Ca3 0.281 0.583 0.864
Ca4 0.417 0.281 0.697
Ca5 0.583 0.719 0.303
Ca6 0.719 0.417 0.136
Ca7 0.781 0.917 0.697
Ca8 0.917 0.219 0.136
Mg1 0.250 0.750 0.500
Mg2 0.750 0.250 0.500
Sn1 0.153 0.347 0.500
Sn2 0.250 0.250 0.000
Sn3 0.347 0.847 0.195
Sn4 0.653 0.153 0.805
Sn5 0.750 0.750 0.000
Sn6 0.847 0.653 0.500



Record 5
CaMg3Sn: optimized geometry, GGA-PBEsol.

Properties
The density of states at the Fermi level comes out at 4.1 states/eV/f.u. The total energy is -6.7 eV/cell. Its spin magnetization is 0.00 μB/f.u. The formation energy from the elements is 962 meV/atom. Its crystal system is cubic.

a b c (Å): 5.668 5.668 5.668
angles (deg): 90.00 90.00 90.00
Fractional coordinates of all 5 atoms:
Ca1 0.000 0.000 0.000
Mg1 0.000 0.000 0.500
Mg2 0.000 0.500 0.000
Mg3 0.500 0.000 0.000
Sn1 0.500 0.500 0.500



Record 6
SrCaMg: optimized geometry, GGA-PBEsol.

Properties
The density of states at the Fermi level comes out at 3.1 states/eV/f.u. The total energy is -11.6 eV/cell. Its spin magnetization is 0.00 μB/f.u. The formation energy from the elements is -39 meV/atom. The calculation puts the energy above the most stable polymorph in this dataset at 0 meV/atom. Its crystal system is tetragonal.

a b c (Å): 4.058 4.058 13.588
angles (deg): 90.00 90.00 90.00
Fractional coordinates of all 6 atoms:
Sr1 0.000 0.000 0.000
Sr2 0.500 0.500 0.500
Ca1 0.000 0.000 0.291
Ca2 0.500 0.500 0.791
Mg1 0.000 0.000 0.657
Mg2 0.500 0.500 0.157



Record 7
Sr2CaMg2: optimized geometry, GGA-PBEsol.

Properties
The density of states at the Fermi level comes out at 5.0 states/eV/f.u. The total energy is -18.6 eV/cell. Its spin magnetization is 0.00 μB/f.u. The formation energy from the elements is -13 meV/atom. Its crystal system is tetragonal.

a b c (Å): 8.915 8.915 4.860
angles (deg): 90.00 90.00 90.00
Fractional coordinates of all 10 atoms:
Sr1 0.171 0.329 0.000
Sr2 0.329 0.829 0.000
Sr3 0.671 0.171 0.000
Sr4 0.829 0.671 0.000
Ca1 0.000 0.000 0.500
Ca2 0.500 0.500 0.500
Mg1 0.124 0.624 0.500
Mg2 0.376 0.124 0.500
Mg3 0.624 0.876 0.500
Mg4 0.876 0.376 0.500



Record 8
SrCaMg: optimized geometry, GGA-PBEsol.

Properties
The density of states at the Fermi level comes out at 4.0 states/eV/f.u. The total energy is -17.5 eV/cell. Its spin magnetization is 0.00 μB/f.u. The formation energy from the elements is 443 meV/atom. The calculation puts the energy above the most stable polymorph in this dataset at 481 meV/atom. Its crystal system is cubic.

a b c (Å): 8.109 8.109 8.109
angles (deg): 90.00 90.00 90.00
Fractional coordinates of all 12 atoms:
Sr1 0.000 0.000 0.000
Sr2 0.000 0.500 0.500
Sr3 0.500 0.000 0.500
Sr4 0.500 0.500 0.000
Ca1 0.250 0.250 0.250
Ca2 0.250 0.750 0.750
Ca3 0.750 0.250 0.750
Ca4 0.750 0.750 0.250
Mg1 0.000 0.000 0.500
Mg2 0.000 0.500 0.000
Mg3 0.500 0.000 0.000
Mg4 0.500 0.500 0.500



Record 9
SrCa2Mg2: optimized geometry, GGA-PBEsol.

Properties
The density of states at the Fermi level comes out at 5.6 states/eV/f.u. The total energy is -19.2 eV/cell. Its spin magnetization is 0.00 μB/f.u. The formation energy from the elements is -16 meV/atom. Its crystal system is tetragonal.

a b c (Å): 9.580 9.580 3.699
angles (deg): 90.00 90.00 90.00
Fractional coordinates of all 10 atoms:
Sr1 0.000 0.000 0.000
Sr2 0.500 0.500 0.000
Ca1 0.130 0.370 0.000
Ca2 0.370 0.870 0.000
Ca3 0.630 0.130 0.000
Ca4 0.870 0.630 0.000
Mg1 0.165 0.665 0.500
Mg2 0.335 0.165 0.500
Mg3 0.665 0.835 0.500
Mg4 0.835 0.335 0.500



Record 10
SrCa3Mg: optimized geometry, GGA-PBEsol.

Properties
The density of states at the Fermi level comes out at 4.9 states/eV/f.u. The total energy is -5.3 eV/cell. Its spin magnetization is 3.06 μB/f.u. The formation energy from the elements is 937 meV/atom. Its crystal system is cubic.

a b c (Å): 6.185 6.185 6.185
angles (deg): 90.00 90.00 90.00
Fractional coordinates of all 5 atoms:
Sr1 0.000 0.000 0.000
Ca1 0.000 0.000 0.500
Ca2 0.000 0.500 0.000
Ca3 0.500 0.000 0.000
Mg1 0.500 0.500 0.500



Record 11
SrCaMg4: optimized geometry, GGA-PBEsol.

Properties
The density of states at the Fermi level comes out at 4.2 states/eV/f.u. The total energy is -11.5 eV/cell. Its spin magnetization is 0.00 μB/f.u. The formation energy from the elements is -115 meV/atom. Its crystal system is cubic.

a b c (Å): 6.267 6.267 6.267
angles (deg): 60.00 60.00 60.00
Fractional coordinates of all 6 atoms:
Sr1 0.000 0.000 0.000
Ca1 0.750 0.750 0.750
Mg1 0.375 0.375 0.375
Mg2 0.375 0.375 0.874
Mg3 0.375 0.874 0.375
Mg4 0.874 0.375 0.375



Record 12
CaMgTc3: optimized geometry, GGA-PBEsol.

Properties
The density of states at the Fermi level comes out at 6.1 states/eV/f.u. The total energy is -25.7 eV/cell. Its spin magnetization is 2.81 μB/f.u. The formation energy from the elements is 2383 meV/atom. Its crystal system is cubic.

a b c (Å): 4.577 4.577 4.577
angles (deg): 90.00 90.00 90.00
Fractional coordinates of all 5 atoms:
Ca1 0.000 0.000 0.000
Mg1 0.500 0.500 0.500
Tc1 0.000 0.000 0.500
Tc2 0.000 0.500 0.000
Tc3 0.500 0.000 0.000



Record 13
CaMg2TiTc: optimized geometry, GGA-PBEsol.

Properties
The density of states at the Fermi level comes out at 5.0 states/eV/f.u. The total energy is -15.2 eV/cell. Its spin magnetization is 2.26 μB/f.u. The formation energy from the elements is 1987 meV/atom. Its crystal system is tetragonal.

a b c (Å): 4.911 4.911 4.428
angles (deg): 90.00 90.00 90.00
Fractional coordinates of all 5 atoms:
Ca1 0.000 0.000 0.000
Mg1 0.000 0.500 0.000
Mg2 0.500 0.000 0.000
Ti1 0.000 0.000 0.500
Tc1 0.500 0.500 0.500



Record 14
CaMgTe2: optimized geometry, GGA-PBEsol.

Properties
The density of states at the Fermi level comes out at 0.0 states/eV/f.u. The total energy is -47.4 eV/cell. Its spin magnetization is 0.00 μB/f.u. Its crystal system is trigonal.

a b c (Å): 4.313 4.313 21.201
angles (deg): 90.00 90.00 120.00
Fractional coordinates of all 12 atoms:
Ca1 0.000 0.000 0.000
Ca2 0.333 0.667 0.667
Ca3 0.667 0.333 0.333
Mg1 0.000 0.000 0.500
Mg2 0.333 0.667 0.167
Mg3 0.667 0.333 0.833
Te1 0.000 0.000 0.244
Te2 0.000 0.000 0.756
Te3 0.333 0.667 0.423
Te4 0.333 0.667 0.910
Te5 0.667 0.333 0.090
Te6 0.667 0.333 0.577



Record 15
CaMgTe2: optimized geometry, GGA-PBEsol.

Properties
The density of states at the Fermi level comes out at 0.1 states/eV/f.u. The total energy is -15.7 eV/cell. Its spin magnetization is 0.00 μB/f.u. Its crystal system is tetragonal.

a b c (Å): 4.330 4.330 6.137
angles (deg): 90.00 90.00 90.00
Fractional coordinates of all 4 atoms:
Ca1 0.000 0.000 0.000
Mg1 0.500 0.500 0.500
Te1 0.000 0.000 0.500
Te2 0.500 0.500 0.000



Record 16
Ca3MgTe: optimized geometry, GGA-PBEsol.

Properties
The density of states at the Fermi level comes out at 4.9 states/eV/f.u. The total energy is -13.3 eV/cell. Its spin magnetization is 0.00 μB/f.u. The calculation puts the energy above the most stable polymorph in this dataset at 0 meV/atom. Its crystal system is cubic.

a b c (Å): 5.838 5.838 5.838
angles (deg): 90.00 90.00 90.00
Fractional coordinates of all 5 atoms:
Ca1 0.000 0.000 0.500
Ca2 0.000 0.500 0.000
Ca3 0.500 0.000 0.000
Mg1 0.500 0.500 0.500
Te1 0.000 0.000 0.000



Record 17
CaMgTe2: optimized geometry, GGA-PBEsol.

Properties
The density of states at the Fermi level comes out at 0.5 states/eV/f.u. The total energy is -29.1 eV/cell. Its spin magnetization is 0.00 μB/f.u. Its crystal system is orthorhombic.

a b c (Å): 4.442 6.519 8.030
angles (deg): 90.00 90.00 90.00
Fractional coordinates of all 8 atoms:
Ca1 0.000 0.000 0.000
Ca2 0.500 0.500 0.500
Mg1 0.000 0.000 0.500
Mg2 0.500 0.500 0.000
Te1 0.000 0.500 0.226
Te2 0.000 0.500 0.774
Te3 0.500 0.000 0.274
Te4 0.500 0.000 0.726



Record 18
CaMg2ZnTe: optimized geometry, GGA-PBEsol.

Properties
The density of states at the Fermi level comes out at 2.9 states/eV/f.u. The total energy is -9.3 eV/cell. Its spin magnetization is 0.00 μB/f.u. Its crystal system is tetragonal.

a b c (Å): 5.472 5.472 5.367
angles (deg): 90.00 90.00 90.00
Fractional coordinates of all 5 atoms:
Ca1 0.000 0.000 0.000
Mg1 0.000 0.500 0.500
Mg2 0.500 0.000 0.500
Zn1 0.500 0.500 0.000
Te1 0.500 0.500 0.500



Record 19
CaMgTl2: optimized geometry, GGA-PBEsol.

Properties
The density of states at the Fermi level comes out at 1.2 states/eV/f.u. The total energy is -41.8 eV/cell. Its spin magnetization is 0.00 μB/f.u. The formation energy from the elements is -337 meV/atom. The calculation puts the energy above the most stable polymorph in this dataset at 0 meV/atom. Its crystal system is cubic.

a b c (Å): 7.398 7.398 7.398
angles (deg): 90.00 90.00 90.00
Fractional coordinates of all 16 atoms:
Ca1 0.000 0.000 0.000
Ca2 0.000 0.500 0.500
Ca3 0.500 0.000 0.500
Ca4 0.500 0.500 0.000
Mg1 0.000 0.000 0.500
Mg2 0.000 0.500 0.000
Mg3 0.500 0.000 0.000
Mg4 0.500 0.500 0.500
Tl1 0.250 0.250 0.250
Tl2 0.250 0.250 0.750
Tl3 0.250 0.750 0.250
Tl4 0.250 0.750 0.750
Tl5 0.750 0.250 0.250
Tl6 0.750 0.250 0.750
Tl7 0.750 0.750 0.250
Tl8 0.750 0.750 0.750



Record 20
Ca2MgTl: optimized geometry, GGA-PBEsol.

Properties
The density of states at the Fermi level comes out at 2.2 states/eV/f.u. The total energy is -9.9 eV/cell. Its spin magnetization is 0.00 μB/f.u. The formation energy from the elements is -323 meV/atom. The calculation puts the energy above the most stable polymorph in this dataset at 2 meV/atom. Its crystal system is tetragonal.

a b c (Å): 5.447 5.447 3.816
angles (deg): 90.00 90.00 90.00
Fractional coordinates of all 4 atoms:
Ca1 0.000 0.500 0.000
Ca2 0.500 0.000 0.000
Mg1 0.000 0.000 0.500
Tl1 0.500 0.500 0.500